No. 1
Density functional theory data (PBE with a Hubbard U) for a geometry-optimized SrAcVO5 structure.

Calculated values
Space-group type ... No. 15
ρ ... 5.06 g/cm³
Uncorrected energy ... -7.44 eV per atom
N(E_F) ... 0.0000 states/eV per atom

a = 6.2358 Å, b = 6.2358 Å, c = 8.2757 Å
α = 100.59°, β = 100.59°, γ = 107.15°
Closest atoms and distances in Å follow each position.
Sites, in units of the cell vectors:
Sr  0.3411  0.6589  0.2500  1 O 2.32
Sr  0.6589  0.3411  0.7500  1 O 2.32
Ac  0.0000  0.0000  0.5000  4 O 2.34-2.57
Ac  0.0000  0.0000  0.0000  4 O 2.34-2.57
V  0.6797  0.3203  0.2500  4 O 1.75-1.76
V  0.3203  0.6797  0.7500  4 O 1.75-1.76
O  0.1099  0.8901  0.2500  1 Sr 2.32, 2 Ac 2.34
O  0.8901  0.1099  0.7500  1 Sr 2.32, 2 Ac 2.34
O  0.9195  0.3496  0.1619  1 V 1.76
O  0.0805  0.6504  0.8381  1 V 1.76
O  0.6504  0.0805  0.3381  1 V 1.76
O  0.3496  0.9195  0.6619  1 V 1.76
O  0.7142  0.5682  0.4049  1 V 1.75
O  0.2858  0.4318  0.5951  1 V 1.75
O  0.4318  0.2858  0.0951  1 V 1.75
O  0.5682  0.7142  0.9049  1 V 1.75

No. 2
Density functional theory data (PBE with a Hubbard U) for a geometry-optimized SrAc2VO6 structure.

Calculated values
Space-group type ... No. 99
ρ ... 6.55 g/cm³
Uncorrected energy ... -7.51 eV per atom
N(E_F) ... 0.0000 states/eV per atom

a = 5.3609 Å, b = 5.7054 Å, c = 5.7054 Å
α = 90.00°, β = 90.00°, γ = 90.00°
Closest atoms and distances in Å follow each position.
Sites, in units of the cell vectors:
Sr  0.5565  0.5000  0.5000  5 O 2.38-2.41
Ac  0.9943  0.5000  0.0000  4 O 2.47
Ac  0.9943  0.0000  0.5000  4 O 2.47
V  0.5979  0.0000  0.0000  5 O 1.78-1.95
O  0.7311  0.2245  0.2245  1 V 1.95
O  0.7311  0.2245  0.7755  1 V 1.95
O  0.1131  0.5000  0.5000  1 Sr 2.38
O  0.2663  0.0000  0.0000  1 V 1.78
O  0.7311  0.7755  0.7755  1 V 1.95
O  0.7311  0.7755  0.2245  1 V 1.95

No. 3
Density functional theory data (PBE with a Hubbard U) for a geometry-optimized Sr3AcV4O12 structure.

Calculated values
Space-group type ... No. 155
ρ ... 3.97 g/cm³
Uncorrected energy ... -7.18 eV per atom
N(E_F) ... 0.1212 states/eV per atom

a = 7.4766 Å, b = 7.4766 Å, c = 7.4766 Å
α = 104.38°, β = 104.38°, γ = 104.38°
Closest atoms and distances in Å follow each position.
Sites, in units of the cell vectors:
Sr  0.5420  0.4580  0.0000  6 O 2.48-2.56
Sr  0.4580  0.0000  0.5420  6 O 2.48-2.56
Sr  0.0000  0.5420  0.4580  6 O 2.48-2.56
Ac  0.0000  0.0000  0.0000  6 O 2.64
V  0.9563  0.0437  0.5000  3 O 1.71-1.78
V  0.0437  0.5000  0.9563  3 O 1.71-1.78
V  0.5000  0.9563  0.0437  3 O 1.71-1.78
V  0.5000  0.5000  0.5000  3 O 1.73
O  0.5000  0.3535  0.6465  1 V 1.73
O  0.8989  0.5000  0.1011  1 V 1.71
O  0.1011  0.8989  0.5000  1 V 1.71
O  0.5000  0.1011  0.8989  1 V 1.71
O  0.3383  0.9740  0.1817  1 V 1.78
O  0.1817  0.3383  0.9740  1 V 1.78
O  0.9740  0.1817  0.3383  1 V 1.78
O  0.6617  0.8183  0.0260  1 V 1.78
O  0.0260  0.6617  0.8183  1 V 1.78
O  0.8183  0.0260  0.6617  1 V 1.78
O  0.6465  0.5000  0.3535  1 V 1.73
O  0.3535  0.6465  0.5000  1 V 1.73

No. 4
Density functional theory data (PBE with a Hubbard U) for a geometry-optimized SrAcVO4 structure.

Calculated values
Space-group type ... No. 107
ρ ... 6.98 g/cm³
Uncorrected energy ... -7.51 eV per atom
N(E_F) ... 0.0286 states/eV per atom

a = 3.9617 Å, b = 3.9617 Å, c = 7.0846 Å
α = 106.24°, β = 106.24°, γ = 90.00°
Closest atoms and distances in Å follow each position.
Sites, in units of the cell vectors:
Sr  0.3573  0.3573  0.7147  5 O 2.48-2.74
Ac  0.6441  0.6441  0.2883  5 O 2.43-2.70
V  0.9944  0.9944  0.9887  5 O 1.98-2.13
O  0.0033  0.5033  0.0067  2 V 1.98
O  0.5033  0.0033  0.0067  2 V 1.98
O  0.8309  0.8309  0.6618  1 V 2.13
O  0.1666  0.1666  0.3332  1 V 2.24, 1 Sr 2.48

No. 5
Density functional theory data (PBE with a Hubbard U) for a geometry-optimized SrAcWO6 structure.

Calculated values
Space-group type ... No. 149
ρ ... 6.32 g/cm³
Uncorrected energy ... -7.18 eV per atom
N(E_F) ... 0.7807 states/eV per atom

a = 5.9784 Å, b = 5.9784 Å, c = 5.0451 Å
α = 90.00°, β = 90.00°, γ = 60.00°
Closest atoms and distances in Å follow each position.
Sites, in units of the cell vectors:
Sr  0.0000  0.0000  0.9999  6 O 2.60
Ac  0.6666  0.6667  0.4999  6 O 2.47
W  0.3333  0.3333  0.5000  6 O 1.96
O  0.0636  0.3257  0.2857  1 W 1.96
O  0.3258  0.0636  0.7143  1 W 1.96
O  0.6105  0.3259  0.7144  1 W 1.96
O  0.0636  0.6106  0.7143  1 W 1.96
O  0.3257  0.6106  0.2857  1 W 1.96
O  0.6106  0.0637  0.2857  1 W 1.96

No. 6
Density functional theory data (PBE with a Hubbard U) for a geometry-optimized SrAc2WO8 structure.

Calculated values
Space-group type ... No. 10
ρ ... 7.19 g/cm³
Uncorrected energy ... -7.23 eV per atom
N(E_F) ... 0.0000 states/eV per atom

a = 4.6416 Å, b = 5.6723 Å, c = 7.4919 Å
α = 90.00°, β = 90.00°, γ = 90.91°
Closest atoms and distances in Å follow each position.
Sites, in units of the cell vectors:
Sr  0.0000  0.0000  0.5000  6 O 2.49-2.72
Ac  0.5000  0.5000  0.7468  2 O 2.31
Ac  0.5000  0.5000  0.2532  2 O 2.31
W  0.0000  0.0000  0.0000  6 O 1.93-2.02
O  0.0583  0.7672  0.1844  1 W 1.93
O  0.5840  0.8914  0.0000  1 O 1.47
O  0.9417  0.2328  0.1844  1 W 1.93
O  0.9417  0.2328  0.8156  1 W 1.93
O  0.4160  0.1086  0.0000  1 O 1.47
O  0.0583  0.7672  0.8156  1 W 1.93
O  0.5647  0.7382  0.5000  2 Ac 2.31, 1 Sr 2.49
O  0.4353  0.2618  0.5000  2 Ac 2.31, 1 Sr 2.49

No. 7
Density functional theory data (PBE with a Hubbard U) for a geometry-optimized Sr2AcWO8 structure.

Calculated values
Space-group type ... No. 164
ρ ... 6.36 g/cm³
Uncorrected energy ... -6.52 eV per atom
N(E_F) ... 0.7260 states/eV per atom

a = 5.6652 Å, b = 5.6652 Å, c = 6.7039 Å
α = 90.00°, β = 90.00°, γ = 120.00°
Closest atoms and distances in Å follow each position.
Sites, in units of the cell vectors:
Sr  0.6667  0.3333  0.1190  4 O 2.41-2.61
Sr  0.3333  0.6667  0.8810  4 O 2.41-2.61
Ac  0.0000  0.0000  0.5000  6 O 2.68
W  0.0000  0.0000  0.0000  6 O 1.94
O  0.8419  0.6838  0.8259  1 W 1.94
O  0.3162  0.1581  0.8259  1 W 1.94
O  0.8419  0.1581  0.8259  1 W 1.94
O  0.1581  0.3162  0.1741  1 W 1.94
O  0.6838  0.8419  0.1741  1 W 1.94
O  0.1581  0.8419  0.1741  1 W 1.94
O  0.6667  0.3333  0.4785  1 Sr 2.41
O  0.3333  0.6667  0.5215  1 Sr 2.41